Entry from Alexandria: crystalline NdCoNiP2 at its relaxed geometry (PBE).

The structure in POSCAR format:
```
NdCoNiP2
1.0
-1.9612 1.9612 4.8302
1.9612 -1.9612 4.8302
1.9612 1.9612 -4.8302
Nd Co Ni P
1 1 1 2
Cartesian
0.0000 0.0000 0.0000 Nd
0.0000 1.9612 2.4151 Co
1.9612 0.0000 2.4151 Ni
0.0000 0.0000 3.5670 P
0.0000 0.0000 6.0934 P
```

Properties
**Uncorrected energy**: -33.24 eV for the cell shown
**DFT formation energy**: -22.00 kcal/mol of atoms